! HfSb2RuI PBE optimized geometry; values from VASP
&SYSTEM
  ibrav = 0, nat = 5, ntyp = 4
/
ATOMIC_SPECIES
I 126.90 I.upf
Sb 121.76 Sb.upf
Hf 178.49 Hf.upf
Ru 101.07 Ru.upf
CELL_PARAMETERS angstrom
5.072 0.000 0.000
0.000 5.072 0.000
0.000 0.000 5.350
ATOMIC_POSITIONS angstrom
I 0.000 0.000 2.675
Sb 0.000 2.536 0.000
Sb 2.536 0.000 0.000
Hf 2.536 2.536 2.675
Ru 0.000 0.000 0.000
! Formation energy without anion corrections, meV/atom: 759
! Total magnetic moment, Bohr magnetons per cell: 0.07

! HfRuSeI2 PBE optimized geometry; values from VASP
&SYSTEM
  ibrav = 0, nat = 5, ntyp = 4
/
ATOMIC_SPECIES
I 126.90 I.upf
Ru 101.07 Ru.upf
Hf 178.49 Hf.upf
Se 78.96 Se.upf
CELL_PARAMETERS angstrom
5.580 0.000 0.000
0.000 5.029 0.000
0.000 0.000 5.580
ATOMIC_POSITIONS angstrom
I 0.000 0.000 2.790
I 2.790 0.000 0.000
Ru 0.000 2.515 0.000
Hf 0.000 0.000 0.000
Se 2.790 2.515 2.790
! Formation energy without anion corrections, meV/atom: 800
! Total magnetic moment, Bohr magnetons per cell: 2.28

! HfSiRu2I PBE optimized geometry; values from VASP
&SYSTEM
  ibrav = 0, nat = 5, ntyp = 4
/
ATOMIC_SPECIES
I 126.90 I.upf
Ru 101.07 Ru.upf
Si 28.09 Si.upf
Hf 178.49 Hf.upf
CELL_PARAMETERS angstrom
-2.850 2.601 2.769
-3.688 -0.089 -3.712
-1.798 -3.973 1.881
ATOMIC_POSITIONS angstrom
I 0.000 0.000 0.000
Ru -0.899 -1.987 0.940
Ru -1.425 1.300 1.385
Si -4.168 -0.731 0.469
Hf -1.844 -0.044 -1.856
! Formation energy without anion corrections, meV/atom: 1630
! Total magnetic moment, Bohr magnetons per cell: 1.17

! HfSiRu2I PBE optimized geometry; values from VASP
&SYSTEM
  ibrav = 0, nat = 5, ntyp = 4
/
ATOMIC_SPECIES
I 126.90 I.upf
Ru 101.07 Ru.upf
Si 28.09 Si.upf
Hf 178.49 Hf.upf
CELL_PARAMETERS angstrom
4.483 0.000 0.000
0.000 4.976 0.000
0.000 0.000 4.483
ATOMIC_POSITIONS angstrom
I 2.241 2.488 2.241
Ru 0.000 0.000 2.241
Ru 2.241 0.000 0.000
Si 0.000 0.000 0.000
Hf 0.000 2.488 0.000
! Formation energy without anion corrections, meV/atom: 643
! Total magnetic moment, Bohr magnetons per cell: 0.00

! HfZrRu2I PBE optimized geometry; values from VASP
&SYSTEM
  ibrav = 0, nat = 5, ntyp = 4
/
ATOMIC_SPECIES
I 126.90 I.upf
Ru 101.07 Ru.upf
Hf 178.49 Hf.upf
Zr 91.22 Zr.upf
CELL_PARAMETERS angstrom
-3.160 3.060 -1.854
-2.880 -4.060 -1.793
-2.459 -0.062 4.090
ATOMIC_POSITIONS angstrom
I -1.440 -2.030 -0.896
Ru -1.230 -0.031 2.045
Ru -1.580 1.530 -0.927
Hf 0.000 0.000 0.000
Zr -4.250 -0.531 0.222
! Formation energy without anion corrections, meV/atom: 1123
! Total magnetic moment, Bohr magnetons per cell: 0.00

! HfSI2 PBE optimized geometry; values from VASP
&SYSTEM
  ibrav = 0, nat = 8, ntyp = 3
/
ATOMIC_SPECIES
I 126.90 I.upf
S 32.06 S.upf
Hf 178.49 Hf.upf
CELL_PARAMETERS angstrom
-3.081 8.669 -5.729
-9.432 -4.841 -2.252
-7.226 2.881 -2.007
ATOMIC_POSITIONS angstrom
I -5.383 6.860 -5.240
I -10.697 6.121 -7.478
I -8.669 4.337 -4.153
I -8.380 9.611 -6.581
S -6.257 1.914 -3.990
S -11.458 -0.023 -4.124
Hf 0.000 0.000 0.000
Hf -8.282 6.732 -5.863
! Formation energy without anion corrections, meV/atom: -765
! Total magnetic moment, Bohr magnetons per cell: 0.00

Which of these has the highest formation energy without anion corrections?
number 3